No. 1
LuTa3O9 | GGA-PBEsol | relaxed

Results
D(E_F) ... 0.00 states/eV/cell
Calculated total energy ... -517.77 eV for the cell shown
Excess energy over the best structure of this formula in the dataset ... 0.100 kcal/mol of atoms
Uncorrected formation energy ... -3.052 eV per atom

abc: 6.3261 7.5161 12.3592
angles: 90.00 90.00 90.00
With the nearest neighbours (Å) after each atom.
Fractional coordinates of all 52 atoms:
Lu 0.0604 0.2500 0.4644  9 O 2.27-2.48
Lu 0.4396 0.7500 0.9644  9 O 2.27-2.48
Lu 0.9396 0.7500 0.5356  9 O 2.27-2.48
Lu 0.5604 0.2500 0.0356  9 O 2.27-2.48
O 0.5790 0.7500 0.5311  2 Ta 1.98
O 0.4210 0.2500 0.4689  2 Ta 1.98
O 0.1988 0.9655 0.5331  1 Ta 1.97
O 0.9950 0.5540 0.1582  3 Ta 2.00-2.12
O 0.8600 0.7500 0.3411  2 Ta 1.99
O 0.6968 0.7500 0.8126  2 Ta 1.92
O 0.8012 0.4655 0.4669  1 Ta 1.97
O 0.9950 0.9460 0.1582  3 Ta 2.00-2.12
O 0.8824 0.5465 0.6683  2 Ta 1.96-2.05
O 0.1988 0.5345 0.5331  1 Ta 1.97
O 0.1176 0.0465 0.3317  2 Ta 1.96-2.05
O 0.5050 0.4460 0.6582  3 Ta 2.00-2.12
O 0.8012 0.0345 0.4669  1 Ta 1.97
O 0.4950 0.5540 0.3418  3 Ta 2.00-2.12
O 0.3824 0.9535 0.8317  2 Ta 1.96-2.05
O 0.3600 0.7500 0.1589  2 Ta 1.99
O 0.6988 0.9655 0.9669  1 Ta 1.97
O 0.3012 0.0345 0.0331  1 Ta 1.97
O 0.6400 0.2500 0.8411  2 Ta 1.99
O 0.1400 0.2500 0.6589  2 Ta 1.99
O 0.1968 0.7500 0.6874  2 Ta 1.92
O 0.9210 0.2500 0.0311  2 Ta 1.98
O 0.0050 0.4460 0.8418  3 Ta 2.00-2.12
O 0.8032 0.2500 0.3126  2 Ta 1.92
O 0.3032 0.2500 0.1874  2 Ta 1.92
O 0.0790 0.7500 0.9689  2 Ta 1.98
O 0.5050 0.0540 0.6582  3 Ta 2.00-2.12
O 0.6176 0.4535 0.1683  2 Ta 1.96-2.05
O 0.6176 0.0465 0.1683  2 Ta 1.96-2.05
O 0.6988 0.5345 0.9669  1 Ta 1.97
O 0.0050 0.0540 0.8418  3 Ta 2.00-2.12
O 0.4950 0.9460 0.3418  3 Ta 2.00-2.12
O 0.1176 0.4535 0.3317  2 Ta 1.96-2.05
O 0.3012 0.4655 0.0331  1 Ta 1.97
O 0.8824 0.9535 0.6683  2 Ta 1.96-2.05
O 0.3824 0.5465 0.8317  2 Ta 1.96-2.05
Ta 0.0000 0.5000 0.0000  6 O 1.97-2.00
Ta 0.3090 0.9970 0.2103  6 O 1.92-2.12
Ta 0.8090 0.5030 0.2897  6 O 1.92-2.12
Ta 0.8090 0.9970 0.2897  6 O 1.92-2.12
Ta 0.0000 0.0000 0.0000  6 O 1.97-2.00
Ta 0.5000 0.0000 0.5000  6 O 1.97-2.00
Ta 0.6910 0.0030 0.7897  6 O 1.92-2.12
Ta 0.3090 0.5030 0.2103  6 O 1.92-2.12
Ta 0.1910 0.0030 0.7103  6 O 1.92-2.12
Ta 0.1910 0.4970 0.7103  6 O 1.92-2.12
Ta 0.6910 0.4970 0.7897  6 O 1.92-2.12
Ta 0.5000 0.5000 0.5000  6 O 1.97-2.00



No. 2
LuTa3O9 | GGA-PBEsol | relaxed

Results
D(E_F) ... 0.00 states/eV/cell
Calculated total energy ... -259.00 eV for the cell shown
Excess energy over the best structure of this formula in the dataset ... 0.000 kcal/mol of atoms
Uncorrected formation energy ... -3.056 eV per atom

abc: 5.1521 7.3805 8.2014
angles: 90.00 92.52 90.00
With the nearest neighbours (Å) after each atom.
Fractional coordinates of all 26 atoms:
Ta 0.5304 0.9920 0.3046  5 O 1.85-2.02
Ta 0.0000 0.5000 0.0000  6 O 1.94-2.03
Ta 0.4696 0.0080 0.6954  5 O 1.85-2.02
Ta 0.4696 0.4920 0.6954  5 O 1.85-2.02
Ta 0.5304 0.5080 0.3046  5 O 1.85-2.02
Ta 0.0000 0.0000 0.0000  6 O 1.94-2.03
O 0.8599 0.4299 0.2188  2 Ta 1.95-2.03
O 0.5866 0.7500 0.6861  2 Ta 2.00, 1 Lu 2.23
O 0.1401 0.5701 0.7812  2 Ta 1.95-2.03
O 0.2532 0.9524 0.4668  2 Ta 2.02-2.18
O 0.3207 0.2500 0.6485  2 Ta 1.97
O 0.6678 0.4397 0.8823  2 Ta 1.85-1.98
O 0.6793 0.7500 0.3515  2 Ta 1.97
O 0.3322 0.9397 0.1177  2 Ta 1.85-1.98
O 0.8599 0.0701 0.2188  2 Ta 1.95-2.03
O 0.3322 0.5603 0.1177  2 Ta 1.85-1.98
O 0.4134 0.2500 0.3139  2 Ta 2.00, 1 Lu 2.23
O 0.1085 0.2500 0.9750  2 Ta 1.94
O 0.6678 0.0603 0.8823  2 Ta 1.85-1.98
O 0.2532 0.5476 0.4668  2 Ta 2.02-2.18
O 0.7468 0.4524 0.5332  2 Ta 2.02-2.18
O 0.7468 0.0476 0.5332  2 Ta 2.02-2.18
O 0.1401 0.9299 0.7812  2 Ta 1.95-2.03
O 0.8915 0.7500 0.0250  2 Ta 1.94
Lu 0.9675 0.7500 0.5666  8 O 2.23-2.48
Lu 0.0325 0.2500 0.4334  8 O 2.23-2.48



No. 3
LuTa7O19 | GGA-PBEsol | relaxed

Results
D(E_F) ... 0.00 states/eV/cell
Calculated total energy ... -543.98 eV for the cell shown
Uncorrected formation energy ... -2.945 eV per atom

abc: 6.1871 6.1871 19.8660
angles: 90.00 90.00 120.00
With the nearest neighbours (Å) after each atom.
Fractional coordinates of all 54 atoms:
Ta 0.0000 0.0000 0.5000  6 O 2.00
Ta 0.0000 0.0000 0.0000  6 O 2.00
Ta 0.3048 0.3346 0.8447  6 O 1.91-2.04
Ta 0.3048 0.3346 0.6553  6 O 1.91-2.04
Ta 0.0298 0.3346 0.3447  6 O 1.91-2.04
Ta 0.0298 0.6952 0.8447  6 O 1.91-2.04
Ta 0.6654 0.6952 0.1553  6 O 1.91-2.04
Ta 0.0298 0.3346 0.1553  6 O 1.91-2.04
Ta 0.6654 0.9702 0.8447  6 O 1.91-2.04
Ta 0.0298 0.6952 0.6553  6 O 1.91-2.04
Ta 0.6654 0.9702 0.6553  6 O 1.91-2.04
Ta 0.3048 0.9702 0.3447  6 O 1.91-2.04
Ta 0.3048 0.9702 0.1553  6 O 1.91-2.04
Ta 0.6654 0.6952 0.3447  6 O 1.91-2.04
O 0.3333 0.6667 0.3704  3 Ta 2.04
O 0.3333 0.6667 0.8704  3 Ta 2.04
O 0.0912 0.3791 0.2500  2 Ta 1.91
O 0.2373 0.2944 0.5550  2 Ta 2.00-2.02
O 0.9143 0.3327 0.8472  2 Ta 1.98-1.99
O 0.0571 0.7627 0.9450  2 Ta 2.00-2.02
O 0.0000 0.0000 0.1663  3 Ta 2.00
O 0.2879 0.9088 0.2500  2 Ta 1.91
O 0.6673 0.0857 0.1528  2 Ta 1.98-1.99
O 0.7056 0.7627 0.0550  2 Ta 2.00-2.02
O 0.0000 0.0000 0.6663  3 Ta 2.00
O 0.0571 0.7627 0.5550  2 Ta 2.00-2.02
O 0.9143 0.5816 0.3472  2 Ta 1.98-1.99
O 0.4184 0.3327 0.3472  2 Ta 1.98-1.99
O 0.0912 0.7121 0.7500  2 Ta 1.91
O 0.6209 0.9088 0.7500  2 Ta 1.91
O 0.9143 0.5816 0.1528  2 Ta 1.98-1.99
O 0.6673 0.0857 0.3472  2 Ta 1.98-1.99
O 0.3333 0.6667 0.6296  3 Ta 2.04
O 0.4184 0.0857 0.6528  2 Ta 1.98-1.99
O 0.7056 0.9429 0.5550  2 Ta 2.00-2.02
O 0.6673 0.5816 0.6528  2 Ta 1.98-1.99
O 0.7056 0.7627 0.4450  2 Ta 2.00-2.02
O 0.2373 0.9429 0.4450  2 Ta 2.00-2.02
O 0.0000 0.0000 0.3337  3 Ta 2.00
O 0.4184 0.0857 0.8472  2 Ta 1.98-1.99
O 0.6209 0.7121 0.2500  2 Ta 1.91
O 0.7056 0.9429 0.9450  2 Ta 2.00-2.02
O 0.2879 0.3791 0.7500  2 Ta 1.91
O 0.6673 0.5816 0.8472  2 Ta 1.98-1.99
O 0.2373 0.2944 0.9450  2 Ta 2.00-2.02
O 0.4184 0.3327 0.1528  2 Ta 1.98-1.99
O 0.9143 0.3327 0.6528  2 Ta 1.98-1.99
O 0.0571 0.2944 0.4450  2 Ta 2.00-2.02
O 0.0000 0.0000 0.8337  3 Ta 2.00
O 0.2373 0.9429 0.0550  2 Ta 2.00-2.02
O 0.3333 0.6667 0.1296  3 Ta 2.04
O 0.0571 0.2944 0.0550  2 Ta 2.00-2.02
Lu 0.3333 0.6667 0.5000  8 O 2.34-2.58
Lu 0.3333 0.6667 0.0000  8 O 2.34-2.58



No. 4
LuTaTiO6 | GGA-PBEsol | relaxed

Results
D(E_F) ... 0.00 states/eV/cell
Calculated total energy ... -345.55 eV for the cell shown
Uncorrected formation energy ... -3.238 eV per atom

abc: 5.1110 5.4682 14.5024
angles: 90.00 90.00 90.18
With the nearest neighbours (Å) after each atom.
Fractional coordinates of all 36 atoms:
O 0.8566 0.3684 0.7586  1 Ti 1.90, 1 Ta 1.99
O 0.4231 0.5827 0.4155  1 Ti 1.77
O 0.5283 0.0612 0.4104  1 Ta 1.97, 1 Ti 2.05
O 0.4231 0.0827 0.0845  1 Ti 1.77
O 0.6454 0.3681 0.2388  1 Ta 1.93, 1 Ti 2.04
O 0.0292 0.9292 0.4096  1 Ti 1.92, 1 Ta 2.06
O 0.5769 0.9173 0.9155  1 Ti 1.77
O 0.1434 0.1316 0.2586  1 Ti 1.90, 1 Ta 1.99
O 0.9708 0.0708 0.5904  1 Ti 1.92, 1 Ta 2.06
O 0.9708 0.5708 0.9096  1 Ti 1.92, 1 Ta 2.06
O 0.0773 0.5856 0.5825  1 Ta 1.85
O 0.4717 0.9388 0.5896  1 Ta 1.97, 1 Ti 2.05
O 0.5769 0.4173 0.5845  1 Ti 1.77
O 0.1434 0.6316 0.2414  1 Ti 1.90, 1 Ta 1.99
O 0.9227 0.4144 0.4175  1 Ta 1.85
O 0.8566 0.8684 0.7414  1 Ti 1.90, 1 Ta 1.99
O 0.6454 0.8681 0.2612  1 Ta 1.93, 1 Ti 2.04
O 0.3546 0.1319 0.7388  1 Ta 1.93, 1 Ti 2.04
O 0.9227 0.9144 0.0825  1 Ta 1.85
O 0.4717 0.4388 0.9104  1 Ta 1.97, 1 Ti 2.05
O 0.3546 0.6319 0.7612  1 Ta 1.93, 1 Ti 2.04
O 0.0292 0.4292 0.0904  1 Ti 1.92, 1 Ta 2.06
O 0.0773 0.0856 0.9175  1 Ta 1.85
O 0.5283 0.5612 0.0896  1 Ta 1.97, 1 Ti 2.05
Ti 0.6843 0.1909 0.6632  3 O 1.77-1.92
Ti 0.3157 0.8091 0.3368  3 O 1.77-1.92
Ti 0.3157 0.3091 0.1632  3 O 1.77-1.92
Ti 0.6843 0.6909 0.8368  3 O 1.77-1.92
Lu 0.2542 0.2706 0.5004  6 O 2.20-2.28
Lu 0.7458 0.2294 0.0004  6 O 2.20-2.28
Lu 0.7458 0.7294 0.4996  6 O 2.20-2.28
Lu 0.2542 0.7706 0.9996  6 O 2.20-2.28
Ta 0.8195 0.6790 0.1671  5 O 1.85-2.06
Ta 0.8195 0.1790 0.3329  5 O 1.85-2.06
Ta 0.1805 0.3210 0.8329  5 O 1.85-2.06
Ta 0.1805 0.8210 0.6671  5 O 1.85-2.06



No. 5
TbLuO3 | GGA-PBEsol | relaxed

Results
D(E_F) ... 0.00 states/eV/cell
Calculated total energy ... -175.17 eV for the cell shown
Uncorrected formation energy ... -3.633 eV per atom

abc: 5.5424 5.8199 8.1503
angles: 90.00 90.00 90.00
With the nearest neighbours (Å) after each atom.
Fractional coordinates of all 20 atoms:
Tb 0.4785 0.4417 0.7500  4 O 2.23-2.35
Tb 0.5215 0.5583 0.2500  4 O 2.23-2.35
Tb 0.0215 0.9417 0.7500  4 O 2.23-2.35
Tb 0.9785 0.0583 0.2500  4 O 2.23-2.35
O 0.8571 0.5697 0.7500  2 Lu 2.22, 2 Tb 2.23-2.35
O 0.3113 0.6921 0.5762  2 Lu 2.15-2.17, 1 Tb 2.23
O 0.3113 0.6921 0.9238  2 Lu 2.15-2.17, 1 Tb 2.23
O 0.6887 0.3079 0.0762  2 Lu 2.15-2.17, 1 Tb 2.23
O 0.1887 0.1921 0.9238  2 Lu 2.15-2.17, 1 Tb 2.23
O 0.6887 0.3079 0.4238  2 Lu 2.15-2.17, 1 Tb 2.23
O 0.8113 0.8079 0.0762  2 Lu 2.15-2.17, 1 Tb 2.23
O 0.8113 0.8079 0.4238  2 Lu 2.15-2.17, 1 Tb 2.23
O 0.6429 0.0697 0.7500  2 Lu 2.22, 2 Tb 2.23-2.35
O 0.3571 0.9303 0.2500  2 Lu 2.22, 2 Tb 2.23-2.35
O 0.1429 0.4303 0.2500  2 Lu 2.22, 2 Tb 2.23-2.35
O 0.1887 0.1921 0.5762  2 Lu 2.15-2.17, 1 Tb 2.23
Lu 0.0000 0.5000 0.5000  6 O 2.15-2.22
Lu 0.0000 0.5000 0.0000  6 O 2.15-2.22
Lu 0.5000 0.0000 0.5000  6 O 2.15-2.22
Lu 0.5000 0.0000 0.0000  6 O 2.15-2.22



No. 6
Lu6TeO12 | GGA-PBEsol | relaxed

Results
D(E_F) ... 0.00 states/eV/cell
Calculated total energy ... -158.13 eV for the cell shown
Uncorrected formation energy ... -3.283 eV per atom

abc: 6.2637 6.2637 6.2637
angles: 98.82 98.82 98.82
With the nearest neighbours (Å) after each atom.
Fractional coordinates of all 19 atoms:
Lu 0.3189 0.6106 0.1448  6 O 2.12-2.33
Lu 0.1448 0.3189 0.6106  6 O 2.12-2.33
Lu 0.6106 0.1448 0.3189  6 O 2.12-2.33
Lu 0.6811 0.3894 0.8552  6 O 2.12-2.33
Lu 0.3894 0.8552 0.6811  6 O 2.12-2.33
Lu 0.8552 0.6811 0.3894  6 O 2.12-2.33
O 0.9628 0.0747 0.3040  1 Te 1.95
O 0.4299 0.1773 0.5905  4 Lu 2.12-2.21
O 0.1773 0.5905 0.4299  4 Lu 2.12-2.21
O 0.5701 0.8227 0.4095  4 Lu 2.12-2.21
O 0.5905 0.4299 0.1773  4 Lu 2.12-2.21
O 0.0747 0.3040 0.9628  1 Te 1.95
O 0.4095 0.5701 0.8227  4 Lu 2.12-2.21
O 0.6960 0.0372 0.9253  1 Te 1.95
O 0.0372 0.9253 0.6960  1 Te 1.95
O 0.9253 0.6960 0.0372  1 Te 1.95
O 0.8227 0.4095 0.5701  4 Lu 2.12-2.21
O 0.3040 0.9628 0.0747  1 Te 1.95
Te 0.0000 0.0000 0.0000  6 O 1.95



No. 7
Lu10Ti6O27 | GGA-PBEsol | relaxed

Results
D(E_F) ... 0.00 states/eV/cell
Calculated total energy ... -387.86 eV for the cell shown
Uncorrected formation energy ... -3.430 eV per atom

abc: 7.0619 7.1990 12.0960
angles: 73.09 73.03 60.63
With the nearest neighbours (Å) after each atom.
Fractional coordinates of all 43 atoms:
Lu 0.7445 0.2723 0.2387  6 O 2.07-2.28
Lu 0.5142 0.4661 0.5055  7 O 2.14-2.33
Lu 0.2738 0.2221 0.7367  6 O 2.13-2.38
Lu 0.2639 0.7339 0.2518  6 O 2.15-2.36
Lu 0.5199 0.9679 0.9924  6 O 2.17-2.27
Lu 0.2614 0.2090 0.2683  6 O 2.10-2.33
Lu 0.7674 0.2221 0.7367  6 O 2.13-2.38
Lu 0.7504 0.7339 0.2518  6 O 2.15-2.36
Lu 0.2480 0.7347 0.7692  5 O 2.13-2.29
Lu 0.9827 0.0440 0.9906  6 O 2.07-2.31
O 0.9699 0.8978 0.6621  2 Ti 1.96-2.14
O 0.1977 0.2261 0.9410  1 Ti 1.92
O 0.2441 0.5632 0.9486  2 Ti 1.86
O 0.0584 0.5438 0.3395  1 Ti 1.90
O 0.0657 0.0577 0.8109  4 Lu 2.07-2.16
O 0.2880 0.2956 0.5437  1 Ti 1.89
O 0.5816 0.0412 0.7957  1 Ti 1.94, 2 Lu 2.13
O 0.6966 0.1178 0.4891  2 Ti 1.92
O 0.4285 0.4516 0.6914  4 Lu 2.13-2.26
O 0.9088 0.5045 0.6779  2 Ti 1.92-2.01
O 0.9903 0.4170 0.1716  1 Ti 1.89
O 0.5689 0.5446 0.3177  4 Lu 2.07-2.15
O 0.4386 0.9405 0.1823  4 Lu 2.10-2.22
O 0.6148 0.0413 0.3121  1 Ti 2.05, 2 Lu 2.13-2.19
O 0.8400 0.8141 0.0622  3 Lu 2.18-2.27, 1 Ti 2.27
O 0.5535 0.6666 0.8653  2 Ti 1.86-1.90
O 0.4210 0.4170 0.1716  1 Ti 1.89
O 0.7950 0.3618 0.0482  2 Ti 2.02, 2 Lu 2.18-2.21
O 0.8727 0.2956 0.5437  1 Ti 1.89
O 0.2589 0.0334 0.4489  2 Ti 1.88
O 0.6711 0.6965 0.4770  1 Ti 1.84
O 0.6351 0.2261 0.9410  1 Ti 1.92
O 0.2837 0.8141 0.0622  3 Lu 2.18-2.27, 1 Ti 2.27
O 0.9146 0.6666 0.8653  2 Ti 1.86-1.90
O 0.4702 0.8978 0.6621  2 Ti 1.96-2.14
O 0.1554 0.6965 0.4770  1 Ti 1.84
O 0.0318 0.0413 0.3121  1 Ti 2.05, 2 Lu 2.13-2.19
Ti 0.0068 0.9850 0.4906  5 O 1.84-2.05
Ti 0.7462 0.7578 0.7498  4 O 1.86-1.94
Ti 0.0131 0.4860 0.0067  5 O 1.86-2.02
Ti 0.4941 0.4860 0.0067  5 O 1.86-2.02
Ti 0.0037 0.4864 0.5062  4 O 1.89-2.01
Ti 0.5176 0.9850 0.4906  5 O 1.84-2.05



No. 8
Lu2TiO5 | GGA-PBEsol | relaxed

Results
D(E_F) ... 0.00 states/eV/cell
Calculated total energy ... -144.39 eV for the cell shown
Excess energy over the best structure of this formula in the dataset ... 0.792 kcal/mol of atoms
Uncorrected formation energy ... -3.485 eV per atom

abc: 3.9735 5.6875 10.2197
angles: 90.00 90.00 110.45
With the nearest neighbours (Å) after each atom.
Fractional coordinates of all 16 atoms:
Ti 0.8262 0.6524 0.7500  6 O 1.86-2.08
Ti 0.1738 0.3476 0.2500  6 O 1.86-2.08
O 0.2924 0.5849 0.0881  1 Ti 2.08, 3 Lu 2.11-2.25
O 0.0497 0.0995 0.3779  1 Ti 1.86
O 0.2924 0.5849 0.4119  1 Ti 2.08, 3 Lu 2.11-2.25
O 0.7298 0.4597 0.2500  2 Ti 2.07, 2 Lu 2.30
O 0.0497 0.0995 0.1221  1 Ti 1.86
O 0.7076 0.4151 0.9119  1 Ti 2.08, 3 Lu 2.11-2.25
O 0.9503 0.9005 0.8779  1 Ti 1.86
O 0.2702 0.5403 0.7500  2 Ti 2.07, 2 Lu 2.30
O 0.7076 0.4151 0.5881  1 Ti 2.08, 3 Lu 2.11-2.25
O 0.9503 0.9005 0.6221  1 Ti 1.86
Lu 0.1432 0.2864 0.9317  6 O 2.11-2.30
Lu 0.1432 0.2864 0.5683  6 O 2.11-2.30
Lu 0.8568 0.7136 0.0683  6 O 2.11-2.30
Lu 0.8568 0.7136 0.4317  6 O 2.11-2.30